# 1
DFT (PBE-GGA) results for a geometry-optimized VCo2SnH structure.

```
VCo2SnH
1.0
4.127 0.000 0.000
0.000 4.127 0.000
0.000 0.000 5.321
V Co Sn H
1 2 1 1
Direct
0.000 0.000 0.000
0.000 0.500 0.000
0.500 0.000 0.000
0.000 0.000 0.500
0.500 0.500 0.500
```

- Total moment: 0.0 μB/f.u.
- Energy above the lowest structure with this stoichiometry: 1.450 eV/atom
- Raw total energy: -23.51 eV per cell



# 2
DFT (PBE-GGA) results for a geometry-optimized VCo2SnH structure.

```
VCo2SnH
1.0
3.911 0.000 0.000
0.000 3.911 0.000
0.000 0.000 3.720
V Co Sn H
1 2 1 1
Direct
0.000 0.000 0.000
0.000 0.500 0.500
0.500 0.000 0.500
0.500 0.500 0.000
0.000 0.000 0.500
```

- Total moment: 3.0 μB/f.u.
- Energy above the lowest structure with this stoichiometry: 0.000 eV/atom
- Raw total energy: -30.76 eV per cell



# 3
DFT (PBE-GGA) results for a geometry-optimized Zr6CoSn2H10 structure.

```
Zr6CoSn2H10
1.0
8.136 0.000 0.000
-4.068 7.046 0.000
0.000 0.000 7.356
Zr Co Sn H
12 2 4 20
Direct
0.000 0.744 0.000
0.000 0.744 0.500
0.047 0.418 0.250
0.256 0.256 0.000
0.256 0.256 0.500
0.370 0.953 0.250
0.418 0.047 0.750
0.582 0.630 0.250
0.630 0.582 0.750
0.744 0.000 0.000
0.744 0.000 0.500
0.953 0.370 0.750
0.000 0.000 0.250
0.000 0.000 0.750
0.333 0.667 0.542
0.333 0.667 0.958
0.667 0.333 0.042
0.667 0.333 0.458
0.000 0.000 0.000
0.000 0.000 0.500
0.000 0.277 0.000
0.000 0.277 0.500
0.107 0.705 0.250
0.117 0.235 0.750
0.117 0.883 0.750
0.235 0.117 0.250
0.277 0.000 0.000
0.277 0.000 0.500
0.295 0.402 0.250
0.402 0.295 0.750
0.598 0.893 0.250
0.705 0.107 0.750
0.723 0.723 0.000
0.723 0.723 0.500
0.765 0.883 0.750
0.883 0.117 0.250
0.883 0.765 0.250
0.893 0.598 0.750
```

- Total moment: 0.0 μB/f.u.
- Raw total energy: -217.64 eV per cell



# 4
DFT (PBE-GGA) results for a geometry-optimized SrCoH3 structure.

```
SrCoH3
1.0
4.618 0.000 0.000
0.171 4.714 0.000
0.031 2.358 5.558
Sr Co H
2 2 6
Direct
0.000 0.000 0.000
0.480 0.263 0.426
0.046 0.727 0.614
0.534 0.572 0.803
0.211 0.543 0.900
0.373 0.717 0.527
0.706 0.439 0.045
0.762 0.844 0.716
0.800 0.458 0.662
0.987 0.041 0.392
```

- Total moment: 0.1 μB/f.u.
- Raw total energy: -40.41 eV per cell



Q: raw total energy of number 1 (VCo2SnH)?
A: -23.51 eV per cell